Li2Ga2Pb after structural relaxation. Source: Alexandria via LeMat-Bulk, functional GGA-PBE.

It has space group P4/mbm (No. 127), with a = 7.884 Å, b = 7.884 Å, c = 3.169 Å, α = 90.00°, β = 90.00° and γ = 90.00°. The inequivalent atoms are Li at (0.181, 0.319, 0.000), Ga at (0.115, 0.615, 0.500) and Pb at (0.000, 0.000, 0.500).

For the total DFT energy (no corrections), the calculation gives -2.898 eV/atom. The value obtained for the volume is 19.7 Å³ per atom. Its formation energy is -180.0 meV/atom.

***

HgMo3H after structural relaxation. Source: Alexandria via LeMat-Bulk, functional GGA-PBE.

It has space group Pm-3m (No. 221), with a = 4.985 Å, b = 4.985 Å, c = 4.985 Å, α = 90.00°, β = 90.00° and γ = 90.00°. The inequivalent atoms are Hg at (0.000, 0.000, 0.000), Mo at (0.000, 0.000, 0.500) and H at (0.500, 0.500, 0.500).

For the total DFT energy (no corrections), the calculation gives -3.918 eV/atom. The value obtained for the volume is 24.8 Å³ per atom.

***

FePdRu3 after structural relaxation. Source: Alexandria via LeMat-Bulk, functional GGA-PBE.

It has space group Pm-3m (No. 221), with a = 4.371 Å, b = 4.371 Å, c = 4.371 Å, α = 90.00°, β = 90.00° and γ = 90.00°. The inequivalent atoms are Fe at (0.000, 0.000, 0.000), Pd at (0.500, 0.500, 0.500) and Ru at (0.000, 0.000, 0.500).

For the total DFT energy (no corrections), the calculation gives -6.957 eV/atom. The value obtained for the volume is 16.7 Å³ per atom. Its formation energy is 1339.5 meV/atom.

***

Mn4FeOs after structural relaxation. Source: Alexandria via LeMat-Bulk, functional GGA-PBE.

It has space group F-43m (No. 216), with a = 6.523 Å, b = 6.523 Å, c = 6.523 Å, α = 90.00°, β = 90.00° and γ = 90.00°. The inequivalent atoms are Mn at (0.124, 0.124, 0.124), Fe at (0.250, 0.250, 0.750) and Os at (0.000, 0.000, 0.500).

For the total DFT energy (no corrections), the calculation gives -9.295 eV/atom. The value obtained for the volume is 11.6 Å³ per atom. Its formation energy is 100.1 meV/atom.

***

TcAs2Pd2 after structural relaxation. Source: Alexandria via LeMat-Bulk, functional GGA-PBE.

It has space group P4/mbm (No. 127), with a = 6.655 Å, b = 6.655 Å, c = 3.634 Å, α = 90.00°, β = 90.00° and γ = 90.00°. The inequivalent atoms are Tc at (0.000, 0.000, 0.000), As at (0.155, 0.345, 0.000) and Pd at (0.152, 0.652, 0.500).

For the total DFT energy (no corrections), the calculation gives -6.066 eV/atom. The value obtained for the volume is 16.1 Å³ per atom. Its formation energy is -55.5 meV/atom.

***

Rb2Tl6BiPt after structural relaxation. Source: Alexandria via LeMat-Bulk, functional GGA-PBE.

It has space group R-3m (No. 166, hexagonal axes), with a = 8.7513 Å, b = 8.7513 Å, c = 36.3966 Å, α = 90.00°, β = 90.00° and γ = 120.00°. The inequivalent atoms are Rb at (0.0000, 0.0000, 0.1490), Rb at (0.0000, 0.0000, 0.2808), Tl at (0.0576, 0.5288, 0.1156), Tl at (0.0740, 0.5370, 0.7220), Bi at (0.0000, 0.0000, 0.3781), Pt at (0.0000, 0.0000, 0.0000) and Pt at (0.0000, 0.0000, 0.5000).

For the total DFT energy (no corrections), the calculation gives -2.668 eV/atom. The value obtained for the volume is 40.2 Å³ per atom. Its formation energy is -62.2 meV/atom.

***

CsPIO2 after structural relaxation. Source: Alexandria via LeMat-Bulk, functional GGA-PBE.

It has space group P4/mmm (No. 123), with a = 4.306 Å, b = 4.306 Å, c = 8.153 Å, α = 90.00°, β = 90.00° and γ = 90.00°. The inequivalent atoms are Cs at (0.000, 0.000, 0.000), P at (0.500, 0.500, 0.500), I at (0.000, 0.000, 0.500) and O at (0.000, 0.500, 0.000).

For the total DFT energy (no corrections), the calculation gives -2.752 eV/atom. The value obtained for the volume is 30.2 Å³ per atom. For the formation energy without anion corrections, the calculation gives 0.79 eV/atom.

***

In2HgGe after structural relaxation. Source: Alexandria via LeMat-Bulk, functional GGA-PBE.

It has space group P4/mmm (No. 123), with a = 3.684 Å, b = 3.684 Å, c = 7.246 Å, α = 90.00°, β = 90.00° and γ = 90.00°. The inequivalent atoms are In at (0.000, 0.000, 0.235), Hg at (0.500, 0.500, 0.500) and Ge at (0.500, 0.500, 0.000).

For the total DFT energy (no corrections), the calculation gives -2.474 eV/atom. The value obtained for the volume is 24.6 Å³ per atom. Its formation energy is 125.3 meV/atom.

***

SnSbBr2 after structural relaxation. Source: Alexandria via LeMat-Bulk, functional GGA-PBE.

It has space group I-42d (No. 122), with a = 8.463 Å, b = 8.463 Å, c = 6.840 Å, α = 90.00°, β = 90.00° and γ = 90.00°. The inequivalent atoms are Sn at (0.000, 0.000, 0.000), Sb at (0.000, 0.000, 0.500) and Br at (0.249, 0.250, 0.625).

For the total DFT energy (no corrections), the calculation gives -2.904 eV/atom. The value obtained for the volume is 30.6 Å³ per atom. For the formation energy without anion corrections, the calculation gives -0.04 eV/atom.

***

ErScSe after structural relaxation. Source: Alexandria via LeMat-Bulk, functional GGA-PBE.

It has space group P3m1 (No. 156), with a = 3.7364 Å, b = 3.7364 Å, c = 6.1996 Å, α = 90.00°, β = 90.00° and γ = 120.00°. The inequivalent atoms are Er at (0.0000, 0.0000, 0.0000), Sc at (0.6667, 0.3333, 0.4358) and Se at (0.3333, 0.6667, 0.6999).

For the total DFT energy (no corrections), the calculation gives -5.832 eV/atom. The value obtained for the volume is 25.0 Å³ per atom. For the formation energy without anion corrections, the calculation gives -1.04 eV/atom.

***

LiTl2Cd2 after structural relaxation. Source: Alexandria via LeMat-Bulk, functional GGA-PBE.

It has space group I4/mmm (No. 139), with a = 4.106 Å, b = 4.106 Å, c = 16.282 Å, α = 90.00°, β = 90.00° and γ = 90.00°. The inequivalent atoms are Li at (0.000, 0.000, 0.000), Tl at (0.000, 0.000, 0.404) and Cd at (0.000, 0.500, 0.250).

For the total DFT energy (no corrections), the calculation gives -1.643 eV/atom. The value obtained for the volume is 27.4 Å³ per atom. Its formation energy is 52.7 meV/atom.

***

LaMg2Al2 after structural relaxation. Source: Alexandria via LeMat-Bulk, functional GGA-PBE.

It has space group P4/mbm (No. 127), with a = 8.541 Å, b = 8.541 Å, c = 3.139 Å, α = 90.00°, β = 90.00° and γ = 90.00°. The inequivalent atoms are La at (0.000, 0.000, 0.000), Mg at (0.168, 0.332, 0.500) and Al at (0.124, 0.624, 0.000).

For the total DFT energy (no corrections), the calculation gives -3.224 eV/atom. The value obtained for the volume is 22.9 Å³ per atom. Its formation energy is -103.4 meV/atom.

***

Total magnetization / μB/f.u.: 0.00 0.00 2.30 2.31 0.00 0.00 1.32 0.00 0.00 0.25 0.00 0.00